1.
# LiV2F7 PBEsol relaxed
# - Energy above the lowest structure with this stoichiometry: 1.46 kcal/mol of atoms
# - Formation energy without anion corrections: -27.872 eV/f.u.
# - Volume: 271.80 Å³/cell
data_LiV2F7
_chemical_formula_sum 'Li2 V4 F14'
_space_group_name_H-M_alt 'P -1'
_space_group_IT_number 2
_cell_length_a 5.276
_cell_length_b 6.702
_cell_length_c 8.480
_cell_angle_alpha 71.21
_cell_angle_beta 73.35
_cell_angle_gamma 83.07
loop_
_space_group_symop_operation_xyz
'x,y,z'
'-x,-y,-z'
loop_
_atom_site_label
_atom_site_type_symbol
_atom_site_fract_x
_atom_site_fract_y
_atom_site_fract_z
Li1 Li 0.116 0.026 0.258
V1 V 0.193 0.484 0.328
V2 V 0.279 0.290 0.817
F1 F 0.086 0.600 0.119
F2 F 0.102 0.207 0.385
F3 F 0.179 0.058 0.784
F4 F 0.197 0.438 0.574
F5 F 0.304 0.186 0.037
F6 F 0.333 0.767 0.285
F7 F 0.428 0.559 0.763

2.
# LiVF3 PBEsol relaxed
# - Energy above the lowest structure with this stoichiometry: 1.81 kcal/mol of atoms
# - Formation energy without anion corrections: -12.640 eV/f.u.
# - Volume: 109.26 Å³/cell
data_LiVF3
_chemical_formula_sum 'Li2 V2 F6'
_space_group_name_H-M_alt 'P 1 21/m 1'
_space_group_IT_number 11
_cell_length_a 3.178
_cell_length_b 5.417
_cell_length_c 6.542
_cell_angle_alpha 90.00
_cell_angle_beta 104.01
_cell_angle_gamma 90.00
loop_
_space_group_symop_operation_xyz
'x,y,z'
'-x,-y,-z'
'-x,y+1/2,-z'
'x,-y+1/2,z'
loop_
_atom_site_label
_atom_site_type_symbol
_atom_site_fract_x
_atom_site_fract_y
_atom_site_fract_z
Li1 Li 0.056 0.250 0.122
V1 V 0.329 0.250 0.660
F1 F 0.166 0.501 0.331
F2 F 0.482 0.250 0.975